Compound: Sc5SnPb2
Source: the Alexandria database
Functional: GGA-PBE
Structure: optimized geometry Values from VASP.

* size of the total moment: 0.266 μB/f.u.
* volume: 24.2 Å³/atom
* total energy: -5.83 eV/atom
* formation enthalpy at 0 K: -0.44 eV/atom
* crystal system: tetragonal
* symmetry: I4/mcm

The structure in Quantum ESPRESSO input format:
```
&SYSTEM
  ibrav = 0, nat = 16, ntyp = 3
/
ATOMIC_SPECIES
Pb 207.20 Pb.upf
Sc 44.96 Sc.upf
Sn 118.71 Sn.upf
ATOMIC_POSITIONS crystal
Pb 0.850 0.650 0.000
Pb 0.350 0.850 0.000
Pb 0.650 0.150 0.000
Pb 0.150 0.350 0.000
Sc 0.193 0.996 0.689
Sc 0.693 0.193 0.689
Sc 0.807 0.004 0.311
Sc 0.307 0.807 0.311
Sc 0.996 0.496 0.689
Sc 0.496 0.693 0.689
Sc 0.504 0.307 0.311
Sc 0.500 0.500 0.000
Sc 0.004 0.504 0.311
Sc 0.000 0.000 0.000
Sn 0.250 0.250 0.500
Sn 0.750 0.750 0.500
CELL_PARAMETERS angstrom
-6.050 4.914 -0.419
-3.555 -4.805 -5.020
2.021 -3.065 7.572
```



Compound: SmTm5Au6
Source: the Alexandria database
Functional: GGA-PBE
Structure: optimized geometry Values from VASP.

* size of the total moment: 0.000 μB/f.u.
* volume: 22.8 Å³/atom
* total energy: -4.77 eV/atom
* formation enthalpy at 0 K: -0.87 eV/atom
* crystal system: orthorhombic
* symmetry: Immm

The structure in Quantum ESPRESSO input format:
```
&SYSTEM
  ibrav = 0, nat = 12, ntyp = 3
/
ATOMIC_SPECIES
Tm 168.93 Tm.upf
Au 196.97 Au.upf
Sm 150.36 Sm.upf
ATOMIC_POSITIONS crystal
Tm 0.000 0.500 0.000
Tm 0.666 0.166 0.331
Tm 0.667 0.667 0.335
Tm 0.334 0.834 0.669
Tm 0.333 0.333 0.665
Au 0.500 0.263 0.000
Au 0.500 0.737 0.000
Au 0.829 0.085 0.658
Au 0.829 0.573 0.658
Au 0.171 0.915 0.342
Au 0.171 0.427 0.342
Sm 0.000 0.000 0.000
CELL_PARAMETERS angstrom
4.868 0.021 -1.421
-0.970 6.211 -3.234
-0.083 0.534 8.776
```



Compound: CaMnZn2
Source: the Alexandria database
Functional: GGA-PBE
Structure: optimized geometry Values from VASP.

* size of the total moment: 3.771 μB/f.u.
* volume: 19.7 Å³/atom
* total energy: -3.28 eV/atom
* formation enthalpy at 0 K: 0.15 eV/atom
* crystal system: orthorhombic
* symmetry: Cmmm

The structure in Quantum ESPRESSO input format:
```
&SYSTEM
  ibrav = 0, nat = 4, ntyp = 3
/
ATOMIC_SPECIES
Ca 40.08 Ca.upf
Zn 65.41 Zn.upf
Mn 54.94 Mn.upf
ATOMIC_POSITIONS crystal
Ca 0.500 0.000 0.500
Zn 0.000 0.000 0.000
Zn 0.500 0.500 0.000
Mn 0.000 0.500 0.500
CELL_PARAMETERS angstrom
4.478 -0.021 0.000
0.026 4.478 0.000
0.000 0.000 3.923
```